1.
A relaxed ThAgHgPb crystal. Source: the Alexandria database, functional PBE.

Cell: 7.435 7.435 7.435 Å, 90.00 90.00 90.00°
Sites, in units of the cell vectors:
Th 0.000 0.000 0.000
Th 0.000 0.500 0.500
Th 0.500 0.000 0.500
Th 0.500 0.500 0.000
Ag 0.250 0.250 0.750
Ag 0.250 0.750 0.250
Ag 0.750 0.250 0.250
Ag 0.750 0.750 0.750
Hg 0.250 0.250 0.250
Hg 0.250 0.750 0.750
Hg 0.750 0.250 0.750
Hg 0.750 0.750 0.250
Pb 0.000 0.000 0.500
Pb 0.000 0.500 0.000
Pb 0.500 0.000 0.000
Pb 0.500 0.500 0.500

Results
SG: F-43m (216)



2.
A relaxed TlAgHgPb crystal. Source: the Alexandria database, functional PBE.

Cell: 7.495 7.495 7.495 Å, 90.00 90.00 90.00°
Sites, in units of the cell vectors:
Tl 0.000 0.000 0.000
Tl 0.000 0.500 0.500
Tl 0.500 0.000 0.500
Tl 0.500 0.500 0.000
Ag 0.250 0.250 0.250
Ag 0.250 0.750 0.750
Ag 0.750 0.250 0.750
Ag 0.750 0.750 0.250
Hg 0.250 0.250 0.750
Hg 0.250 0.750 0.250
Hg 0.750 0.250 0.250
Hg 0.750 0.750 0.750
Pb 0.000 0.000 0.500
Pb 0.000 0.500 0.000
Pb 0.500 0.000 0.000
Pb 0.500 0.500 0.500

Results
SG: F-43m (216)



3.
A relaxed TlAgHgPb crystal. Source: the Alexandria database, functional PBE.

Cell: 3.371 3.371 9.206 Å, 90.00 90.00 90.00°
Sites, in units of the cell vectors:
Tl 0.000 0.000 0.000
Ag 0.000 0.000 0.461
Hg 0.500 0.500 0.261
Pb 0.500 0.500 0.685

Results
SG: P4mm (99)



4.
A relaxed TmAgHgPb crystal. Source: the Alexandria database, functional PBE.

Cell: 7.284 7.284 7.284 Å, 90.00 90.00 90.00°
Sites, in units of the cell vectors:
Tm 0.000 0.000 0.000
Tm 0.000 0.500 0.500
Tm 0.500 0.000 0.500
Tm 0.500 0.500 0.000
Ag 0.250 0.250 0.750
Ag 0.250 0.750 0.250
Ag 0.750 0.250 0.250
Ag 0.750 0.750 0.750
Hg 0.250 0.250 0.250
Hg 0.250 0.750 0.750
Hg 0.750 0.250 0.750
Hg 0.750 0.750 0.250
Pb 0.000 0.000 0.500
Pb 0.000 0.500 0.000
Pb 0.500 0.000 0.000
Pb 0.500 0.500 0.500

Results
SG: F-43m (216)



5.
A relaxed UAgHgPb crystal. Source: the Alexandria database, functional PBE.

Cell: 7.349 7.349 7.349 Å, 90.00 90.00 90.00°
Sites, in units of the cell vectors:
U 0.000 0.000 0.000
U 0.000 0.500 0.500
U 0.500 0.000 0.500
U 0.500 0.500 0.000
Ag 0.250 0.250 0.250
Ag 0.250 0.750 0.750
Ag 0.750 0.250 0.750
Ag 0.750 0.750 0.250
Hg 0.250 0.250 0.750
Hg 0.250 0.750 0.250
Hg 0.750 0.250 0.250
Hg 0.750 0.750 0.750
Pb 0.000 0.000 0.500
Pb 0.000 0.500 0.000
Pb 0.500 0.000 0.000
Pb 0.500 0.500 0.500

Results
SG: F-43m (216)



6.
A relaxed ZnAgHgPb crystal. Source: the Alexandria database, functional PBE.

Cell: 7.101 7.101 7.101 Å, 90.00 90.00 90.00°
Sites, in units of the cell vectors:
Zn 0.000 0.000 0.000
Zn 0.000 0.500 0.500
Zn 0.500 0.000 0.500
Zn 0.500 0.500 0.000
Ag 0.000 0.000 0.500
Ag 0.000 0.500 0.000
Ag 0.500 0.000 0.000
Ag 0.500 0.500 0.500
Hg 0.250 0.250 0.250
Hg 0.250 0.750 0.750
Hg 0.750 0.250 0.750
Hg 0.750 0.750 0.250
Pb 0.250 0.250 0.750
Pb 0.250 0.750 0.250
Pb 0.750 0.250 0.250
Pb 0.750 0.750 0.750

Results
SG: F-43m (216)



Number 1: energy of formation from the pure elements -0.11 eV per atom. Number 2: energy of formation from the pure elements 0.12 eV per atom. Number 3: energy of formation from the pure elements 0.05 eV per atom. Number 4: energy of formation from the pure elements -0.19 eV per atom. Number 5: energy of formation from the pure elements 0.27 eV per atom. Number 6: energy of formation from the pure elements 0.15 eV per atom.